1.
## Tm2CrO5 (PBE with a Hubbard U)

Data for an optimized crystal structure of Tm2CrO5.

Lattice parameters (Å, degrees): 9.307 6.893 6.724 90.00 97.56 90.00
Positions (direct):
1 Tm 0.034 0.118 0.229
2 Tm 0.034 0.382 0.729
3 Tm 0.345 0.146 0.974
4 Tm 0.345 0.354 0.474
5 Tm 0.655 0.646 0.526
6 Tm 0.655 0.854 0.026
7 Tm 0.966 0.618 0.271
8 Tm 0.966 0.882 0.771
9 Cr 0.301 0.608 0.979
10 Cr 0.301 0.892 0.479
11 Cr 0.699 0.108 0.521
12 Cr 0.699 0.392 0.021
13 O 0.104 0.119 0.913
14 O 0.104 0.381 0.413
15 O 0.104 0.643 0.959
16 O 0.104 0.857 0.459
17 O 0.278 0.077 0.275
18 O 0.278 0.423 0.775
19 O 0.362 0.075 0.655
20 O 0.362 0.425 0.155
21 O 0.407 0.678 0.488
22 O 0.407 0.822 0.988
23 O 0.593 0.178 0.012
24 O 0.593 0.322 0.512
25 O 0.638 0.575 0.845
26 O 0.638 0.925 0.345
27 O 0.722 0.577 0.225
28 O 0.722 0.923 0.725
29 O 0.896 0.143 0.541
30 O 0.896 0.357 0.041
31 O 0.896 0.619 0.587
32 O 0.896 0.881 0.087

* crystal system: monoclinic
* electronic total energy: -8.0350 eV per atom
* space-group type: No. 14

2.
## TmCrO3 (PBE with a Hubbard U)

Data for an optimized crystal structure of TmCrO3.

Lattice parameters (Å, degrees): 5.576 7.604 5.245 90.00 90.00 90.00
Positions (direct):
1 Tm 0.071 0.250 0.021
2 Tm 0.429 0.750 0.521
3 Tm 0.571 0.250 0.479
4 Tm 0.929 0.750 0.979
5 Cr 0.000 0.000 0.500
6 Cr 0.000 0.500 0.500
7 Cr 0.500 0.000 0.000
8 Cr 0.500 0.500 0.000
9 O 0.047 0.750 0.378
10 O 0.195 0.562 0.811
11 O 0.195 0.938 0.811
12 O 0.305 0.062 0.311
13 O 0.305 0.438 0.311
14 O 0.453 0.250 0.878
15 O 0.547 0.750 0.122
16 O 0.695 0.562 0.689
17 O 0.695 0.938 0.689
18 O 0.805 0.062 0.189
19 O 0.805 0.438 0.189
20 O 0.953 0.250 0.622

* crystal system: orthorhombic
* electronic total energy: -8.2108 eV per atom
* space-group type: No. 62

3.
## TmCrO2 (PBE with a Hubbard U)

Data for an optimized crystal structure of TmCrO2.

Lattice parameters (Å, degrees): 6.440 6.440 6.440 31.02 31.02 31.02
Positions (direct):
1 Tm 0.000 0.000 0.000
2 Cr 0.500 0.500 0.500
3 O 0.391 0.391 0.391
4 O 0.609 0.609 0.609

* crystal system: trigonal
* electronic total energy: -7.9685 eV per atom
* space-group type: No. 166

4.
## TmCrO5 (PBE with a Hubbard U)

Data for an optimized crystal structure of TmCrO5.

Lattice parameters (Å, degrees): 7.175 7.175 4.446 90.00 90.00 90.00
Positions (direct):
1 Tm 0.250 0.250 0.248
2 Tm 0.750 0.750 0.752
3 Cr 0.250 0.750 0.500
4 Cr 0.750 0.250 0.500
5 O 0.060 0.750 0.715
6 O 0.250 0.250 0.749
7 O 0.250 0.560 0.285
8 O 0.250 0.940 0.285
9 O 0.440 0.750 0.715
10 O 0.560 0.250 0.285
11 O 0.750 0.060 0.715
12 O 0.750 0.440 0.715
13 O 0.750 0.750 0.251
14 O 0.940 0.250 0.285

* crystal system: tetragonal
* electronic total energy: -7.0433 eV per atom
* space-group type: No. 129

- Which of these has the lowest electronic total energy?
  TmCrO3